This record from the Alexandria database describes Li3Fe2Si2O8 after structural relaxation. The functional is GGA+U.

Cell and atoms, written as CIF:
```
data_Li3Fe2Si2O8
_cell_length_a 6.556
_cell_length_b 5.130
_cell_length_c 10.651
_cell_angle_alpha 90.00
_cell_angle_beta 90.77
_cell_angle_gamma 90.00
_symmetry_space_group_name_H-M 'P 1 c 1'
_symmetry_Int_Tables_number 7
loop_
_symmetry_equiv_pos_as_xyz
'x,y,z'
'x,-y,z+1/2'
loop_
_atom_site_label
_atom_site_type_symbol
_atom_site_fract_x
_atom_site_fract_y
_atom_site_fract_z
_atom_site_occupancy
Li1 Li 0.000 0.046 0.000 1
Li2 Li 0.248 0.443 0.910 1
Li3 Li 0.744 0.066 0.230 1
Fe1 Fe 0.257 0.067 0.235 1
Fe2 Fe 0.734 0.441 0.910 1
Si1 Si 0.490 0.057 0.485 1
Si2 Si 0.997 0.434 0.666 1
O1 O 0.203 0.458 0.234 1
O2 O 0.276 0.051 0.920 1
O3 O 0.502 0.374 0.458 1
O4 O 0.503 0.016 0.132 1
O5 O 0.696 0.068 0.913 1
O6 O 0.800 0.452 0.246 1
O7 O 0.974 0.458 0.018 1
O8 O 0.993 0.112 0.666 1
```

Values from the calculation:
DFT total energy ... -100.77 eV/f.u.